(1)
A relaxed KCr2HgCl8 crystal. Source: Alexandria, functional PBE.

Properties
total DFT energy (no corrections)	-4.003	eV/atom
uncorrected formation energy	-1.0509	eV per atom

Cell: 6.789 7.216 7.799 Å, 89.94 67.60 87.72°
Space group P-1 (No. 2)
Inequivalent atoms, fractional coordinates:
K1 0.000 0.000 0.000
Cr1 0.000 0.253 0.500
Hg1 0.000 0.500 0.000
Cl1 0.208 0.992 0.548
Cl2 0.209 0.492 0.546
Cl3 0.215 0.244 0.188
Cl4 0.215 0.740 0.188

=====

(2)
A relaxed K2CrHgCl6 crystal. Source: Alexandria, functional PBE.

Properties
total DFT energy (no corrections)	-3.577	eV/atom
uncorrected formation energy	-1.2565	eV per atom

Cell: 7.328 7.328 10.388 Å, 90.00 90.00 90.00°
Space group I4/mmm (No. 139)
Inequivalent atoms, fractional coordinates:
K1 0.000 0.500 0.250
Cr1 0.000 0.000 0.000
Hg1 0.000 0.000 0.500
Cl1 0.000 0.000 0.230
Cl2 0.231 0.231 0.000

=====

(3)
A relaxed K2CrHg2Cl4 crystal. Source: Alexandria, functional PBE.

Properties
total DFT energy (no corrections)	-3.344	eV/atom
uncorrected formation energy	-1.1429	eV per atom

Cell: 7.694 7.694 8.923 Å, 90.00 90.00 90.00°
Space group I4/mmm (No. 139)
Inequivalent atoms, fractional coordinates:
K1 0.000 0.500 0.250
Cr1 0.000 0.000 0.000
Hg1 0.000 0.000 0.326
Cl1 0.218 0.218 0.000

=====

(4)
A relaxed CrHg2MoCl crystal. Source: Alexandria, functional PBE.

Properties
total DFT energy (no corrections)	-3.761	eV/atom
uncorrected formation energy	0.8197	eV per atom

Cell: 5.472 5.472 4.493 Å, 90.00 90.00 90.00°
Space group P4/mmm (No. 123)
Inequivalent atoms, fractional coordinates:
Cr1 0.000 0.000 0.000
Hg1 0.000 0.500 0.500
Mo1 0.500 0.500 0.500
Cl1 0.500 0.500 0.000

=====

(5)
A relaxed NaCrHgCl6 crystal. Source: Alexandria, functional PBE.

Properties
total DFT energy (no corrections)	-3.551	eV/atom
uncorrected formation energy	-1.0709	eV per atom

Cell: 6.6243 6.6243 12.1262 Å, 90.00 90.00 120.00°
Space group P-31c (No. 163)
Inequivalent atoms, fractional coordinates:
Na1 0.0000 0.0000 0.0000
Cr1 0.3333 0.6667 0.2500
Hg1 0.3333 0.6667 0.7500
Cl1 0.0401 0.3811 0.1358

=====

(6)
A relaxed Cr2HgOsCl crystal. Source: Alexandria, functional PBE.

Properties
total DFT energy (no corrections)	-5.597	eV/atom
uncorrected formation energy	0.9280	eV per atom

Cell: 4.752 4.752 5.298 Å, 90.00 90.00 90.00°
Space group P4/mmm (No. 123)
Inequivalent atoms, fractional coordinates:
Cr1 0.000 0.500 0.000
Hg1 0.000 0.000 0.500
Os1 0.000 0.000 0.000
Cl1 0.500 0.500 0.500

=====

(7)
A relaxed RbCrHgCl6 crystal. Source: Alexandria, functional PBE.

Properties
total DFT energy (no corrections)	-3.578	eV/atom
uncorrected formation energy	-1.1362	eV per atom

Cell: 6.7230 6.7230 7.1780 Å, 90.00 90.00 120.00°
Space group P312 (No. 149)
Inequivalent atoms, fractional coordinates:
Rb1 0.0000 0.0000 0.0000
Cr1 0.3333 0.6667 0.5000
Hg1 0.6667 0.3333 0.5000
Cl1 0.0397 0.3912 0.6937

=====

(8)
A relaxed RbCr2HgCl8 crystal. Source: Alexandria, functional PBE.

Properties
total DFT energy (no corrections)	-3.986	eV/atom
uncorrected formation energy	-1.0455	eV per atom

Cell: 6.337 7.253 8.045 Å, 90.42 110.41 106.24°
Space group P-1 (No. 2)
Inequivalent atoms, fractional coordinates:
Rb1 0.000 0.000 0.000
Cr1 0.002 0.747 0.499
Hg1 0.000 0.500 0.000
Cl1 0.225 0.056 0.447
Cl2 0.225 0.553 0.444
Cl3 0.241 0.317 0.797
Cl4 0.248 0.808 0.796

=====

(9)
A relaxed Rb2CrHg2Cl4 crystal. Source: Alexandria, functional PBE.

Properties
total DFT energy (no corrections)	-3.343	eV/atom
uncorrected formation energy	-1.1706	eV per atom

Cell: 7.832 7.832 9.064 Å, 90.00 90.00 90.00°
Space group I4/mmm (No. 139)
Inequivalent atoms, fractional coordinates:
Rb1 0.000 0.500 0.250
Cr1 0.000 0.000 0.000
Hg1 0.000 0.000 0.327
Cl1 0.215 0.215 0.000

=====

(10)
A relaxed Cr2HgSCl crystal. Source: Alexandria, functional PBE.

Properties
total DFT energy (no corrections)	-4.850	eV/atom
uncorrected formation energy	0.2547	eV per atom

Cell: 4.772 4.772 5.444 Å, 90.00 90.00 90.00°
Space group P4/mmm (No. 123)
Inequivalent atoms, fractional coordinates:
Cr1 0.000 0.500 0.000
Hg1 0.000 0.000 0.500
S1 0.000 0.000 0.000
Cl1 0.500 0.500 0.500

=====

(11)
A relaxed CrHgSbCl6 crystal. Source: Alexandria, functional PBE.

Properties
total DFT energy (no corrections)	-3.638	eV/atom
uncorrected formation energy	-0.8460	eV per atom

Cell: 6.5513 6.5513 9.2653 Å, 90.00 90.00 120.00°
Space group P312 (No. 149)
Inequivalent atoms, fractional coordinates:
Cr1 0.0000 0.0000 0.0000
Hg1 0.3333 0.6667 0.5000
Sb1 0.6667 0.3333 0.0000
Cl1 0.2971 0.0099 0.8492

=====

(12)
A relaxed CrTcHgCl2 crystal. Source: Alexandria, functional PBE.

Properties
total DFT energy (no corrections)	-4.257	eV/atom
uncorrected formation energy	0.5397	eV per atom

Cell: 4.695 4.695 5.657 Å, 90.00 90.00 90.00°
Space group P4/mmm (No. 123)
Inequivalent atoms, fractional coordinates:
Cr1 0.000 0.000 0.000
Tc1 0.500 0.500 0.500
Hg1 0.500 0.500 0.000
Cl1 0.000 0.500 0.500

=====

Which value of uncorrected formation energy does entry 6 give? 0.9280 eV per atom